Entry 1:
DFT (PBE) results for a relaxed MoWCl3 crystal.

Properties
**E**: -24.01 eV for the cell shown
**DOS(E_F)**: 12.28 states/eV per cell
**Size of the total moment**: 1.792 μB per atom
**Energy relative to the elements, uncorrected**: 1.0622 eV per atom
**Energy above the most stable polymorph in this dataset**: 170 meV per atom

a b c (Å): 5.0447 5.0447 5.0447
angles (deg): 90.00 90.00 90.00
Fractional coordinates of all 5 atoms:
Mo 0.0000 0.0000 0.0000
W 0.5000 0.5000 0.5000
Cl 0.0000 0.0000 0.5000
Cl 0.0000 0.5000 0.0000
Cl 0.5000 0.0000 0.0000



Entry 2:
DFT (PBE) results for a relaxed MoWCl2 crystal.

Properties
**E**: -24.23 eV for the cell shown
**DOS(E_F)**: 4.23 states/eV per cell
**Size of the total moment**: 0.052 μB per atom
**Energy relative to the elements, uncorrected**: 0.8114 eV per atom
**Energy above the most stable polymorph in this dataset**: 1064 meV per atom

a b c (Å): 2.8028 4.4206 5.4823
angles (deg): 90.00 90.00 90.00
Fractional coordinates of all 4 atoms:
Mo 0.0000 0.0000 0.0000
W 0.5000 0.0000 0.5000
Cl 0.0000 0.5000 0.5000
Cl 0.5000 0.5000 0.0000



Q: DOS(E_F) of number 1 (MoWCl3)?
A: 12.28 states/eV per cell



Q: Which value of energy relative to the elements, uncorrected does entry 1 give?
A: 1.0622 eV per atom